{
  "formula": "EuDyTm2",
  "functional": "PBE-GGA",
  "state": "optimized geometry",
  "total_magnetization_mub_per_atom": 1.796,
  "e_form_ev_per_atom": 0.103,
  "total_energy_ev_per_atom": -5.85,
  "dos_at_fermi_per_ev_fu": 6.30,
  "sg": "P4/mmm, No. 123",
  "cell": [[-1.124, -4.259, -2.431], [3.438, -2.477, 2.750], [-3.525, -1.047, 3.463]],
  "species": ["Dy", "Eu", "Tm", "Tm"],
  "frac_coords": [[0.500, 0.000, 0.000], [0.500, 0.500, 0.500], [0.000, 0.500, 0.000], [0.000, 0.000, 0.500]]
}


{
  "formula": "CeNd3",
  "functional": "PBE-GGA",
  "state": "optimized geometry",
  "total_magnetization_mub_per_atom": 0.295,
  "e_form_ev_per_atom": 0.098,
  "total_energy_ev_per_atom": -4.96,
  "dos_at_fermi_per_ev_fu": 9.54,
  "sg": "Pmm2, No. 25",
  "cell": [[3.639, 0.000, 0.000], [0.000, 5.927, 0.000], [0.000, 0.000, 6.390]],
  "species": ["Nd", "Ce", "Nd", "Nd"],
  "frac_coords": [[0.000, 0.500, 0.325], [0.000, 0.000, 0.002], [0.500, 0.500, 0.832], [0.500, 0.000, 0.507]]
}


{
  "formula": "Sm8As3SeS4",
  "functional": "PBE-GGA",
  "state": "optimized geometry",
  "e_form_raw_ev_per_atom": -1.839,
  "total_magnetization_mub_per_atom": 0.000,
  "total_energy_ev_per_atom": -6.32,
  "dos_at_fermi_per_ev_fu": 6.53,
  "sg": "R-3m, No. 166",
  "cell": [[-4.376, -4.606, -5.249], [-2.461, -4.748, 6.218], [-1.176, 8.151, 0.298]],
  "species": ["As", "S", "Sm", "Sm", "Sm", "S", "S", "Se", "S", "As", "Sm", "As", "Sm", "Sm", "Sm", "Sm"],
  "frac_coords": [[0.500, 0.500, 0.500], [0.500, 0.000, 0.000], [0.751, 0.753, 0.502], [0.744, 0.243, 0.489], [0.256, 0.757, 0.511], [0.500, 0.000, 0.500], [0.000, 0.000, 0.000], [0.000, 0.500, 0.000], [0.000, 0.000, 0.500], [0.500, 0.500, 0.000], [0.746, 0.757, 0.002], [0.000, 0.500, 0.500], [0.744, 0.243, 0.998], [0.254, 0.243, 0.998], [0.249, 0.247, 0.498], [0.256, 0.757, 0.002]]
}


{
  "formula": "Ca2MnSi4Ir3",
  "functional": "PBE-GGA",
  "state": "optimized geometry",
  "e_form_raw_ev_per_atom": -0.748,
  "total_magnetization_mub_per_atom": 0.225,
  "total_energy_ev_per_atom": -6.89,
  "dos_at_fermi_per_ev_fu": 4.95,
  "sg": "P-4m2, No. 115",
  "cell": [[4.093, 0.000, 0.000], [0.000, 4.093, 0.000], [0.000, 0.000, 10.139]],
  "species": ["Ir", "Ca", "Mn", "Si", "Ir", "Si", "Ir", "Si", "Ca", "Si"],
  "frac_coords": [[0.000, 0.000, 0.500], [0.500, 0.000, 0.250], [0.500, 0.500, 0.500], [0.000, 0.000, 0.000], [0.500, 0.000, 0.873], [0.500, 0.500, 0.000], [0.000, 0.500, 0.127], [0.000, 0.500, 0.371], [0.000, 0.500, 0.750], [0.500, 0.000, 0.629]]
}


{
  "formula": "SrInH2",
  "functional": "PBE-GGA",
  "state": "optimized geometry",
  "total_magnetization_mub_per_atom": 0.000,
  "total_energy_ev_per_atom": -2.73,
  "dos_at_fermi_per_ev_fu": 2.29,
  "sg": "Fm-3m, No. 225",
  "cell": [[-3.253, -3.179, 0.639], [-3.703, -0.075, -2.717], [-0.536, -3.385, -3.058]],
  "species": ["H", "Sr", "In", "H"],
  "frac_coords": [[0.250, 0.250, 0.250], [0.000, 0.000, 0.000], [0.500, 0.500, 0.500], [0.750, 0.750, 0.750]]
}


{
  "formula": "VNiAu",
  "functional": "PBE-GGA",
  "state": "optimized geometry",
  "total_magnetization_mub_per_atom": 0.219,
  "e_form_ev_per_atom": -0.059,
  "total_energy_ev_per_atom": -6.12,
  "dos_at_fermi_per_ev_fu": 2.45,
  "sg": "I4mm, No. 107",
  "cell": [[-1.866, 2.558, 0.267], [-1.093, -1.088, 2.779], [4.540, 1.289, 0.473]],
  "species": ["Au", "V", "Ni"],
  "frac_coords": [[0.618, 0.618, 0.237], [0.936, 0.936, 0.873], [0.295, 0.295, 0.591]]
}